DyCu2Pd4 (PBE, optimized geometry); energy above the lowest structure with this stoichiometry = 127.8 meV/atom; space-group type = C2/m (12); formation energy = -323 meV/atom
1.0
-1.706 5.205 -0.752
-4.655 0.980 -2.816
3.127 -5.568 6.920
Cu Pd Dy
2 4 1
direct
0.738 0.738 0.480 Cu
0.262 0.262 0.520 Cu
0.500 0.000 0.000 Pd
0.000 0.500 0.000 Pd
0.762 0.239 0.500 Pd
0.238 0.761 0.500 Pd
0.000 0.000 0.000 Dy